Material: Y2MgIr
Method: DFT, SCAN
State: single point on PBEsol structure

```
data_Y2MgIr
_cell_length_a 3.472
_cell_length_b 3.472
_cell_length_c 7.722
_cell_angle_alpha 90.00
_cell_angle_beta 90.00
_cell_angle_gamma 90.00
_space_group_name_H-M_alt 'P 4/m m m'
_space_group_IT_number 123
_space_group_name_Hall '-P 4 2'
loop_
_atom_site_label
_atom_site_type_symbol
_atom_site_fract_x
_atom_site_fract_y
_atom_site_fract_z
Y1 Y 0.000 0.000 0.208
Mg1 Mg 0.500 0.500 0.500
Ir1 Ir 0.500 0.500 0.000
```

Results
- VASP energy (eV/atom) = -33.536
- calculated formation energy (eV per atom) = -0.5961
- magnetization (μB per cell) = 0.00

***

Material: KMnRh2
Method: DFT, SCAN
State: single point on PBEsol structure

```
data_KMnRh2
_cell_length_a 3.149
_cell_length_b 3.149
_cell_length_c 7.750
_cell_angle_alpha 90.00
_cell_angle_beta 90.00
_cell_angle_gamma 90.00
_space_group_name_H-M_alt 'P 4 m m'
_space_group_IT_number 99
_space_group_name_Hall 'P 4 -2'
loop_
_atom_site_label
_atom_site_type_symbol
_atom_site_fract_x
_atom_site_fract_y
_atom_site_fract_z
K1 K 0.000 0.000 0.000
Mn1 Mn 0.500 0.500 0.361
Rh1 Rh 0.000 0.000 0.508
Rh2 Rh 0.500 0.500 0.689
```

Results
- VASP energy (eV/atom) = -23.221
- calculated formation energy (eV per atom) = 0.3104
- magnetization (μB per cell) = 4.27

***

Material: BaCu8P4
Method: DFT, SCAN
State: single point on PBEsol structure

```
data_BaCu8P4
_cell_length_a 10.076
_cell_length_b 10.076
_cell_length_c 3.790
_cell_angle_alpha 90.00
_cell_angle_beta 90.00
_cell_angle_gamma 90.00
_space_group_name_H-M_alt 'I 4/m'
_space_group_IT_number 87
_space_group_name_Hall '-I 4'
loop_
_atom_site_label
_atom_site_type_symbol
_atom_site_fract_x
_atom_site_fract_y
_atom_site_fract_z
Ba1 Ba 0.000 0.000 0.000
Cu1 Cu 0.014 0.633 0.000
Cu2 Cu 0.161 0.728 0.500
P1 P 0.075 0.266 0.500
```

Results
- VASP energy (eV/atom) = -15.930
- calculated formation energy (eV per atom) = -0.3348
- magnetization (μB per cell) = 0.00

***

Material: BMoPS2
Method: DFT, SCAN
State: single point on PBEsol structure

```
data_BMoPS2
_cell_length_a 4.108
_cell_length_b 4.108
_cell_length_c 3.957
_cell_angle_alpha 90.00
_cell_angle_beta 90.00
_cell_angle_gamma 90.00
_space_group_name_H-M_alt 'P 4/m m m'
_space_group_IT_number 123
_space_group_name_Hall '-P 4 2'
loop_
_atom_site_label
_atom_site_type_symbol
_atom_site_fract_x
_atom_site_fract_y
_atom_site_fract_z
B1 B 0.000 0.000 0.000
Mo1 Mo 0.500 0.500 0.500
P1 P 0.000 0.000 0.500
S1 S 0.000 0.500 0.000
```

Results
- energy relative to the elements, uncorrected (eV/f.u.) = 4.4
- VASP energy (eV/atom) = -13.513
- magnetization (μB per cell) = 2.11

***

Material: PtPb2Br
Method: DFT, SCAN
State: single point on PBEsol structure

```
data_PtPb2Br
_cell_length_a 7.205
_cell_length_b 7.205
_cell_length_c 7.205
_cell_angle_alpha 90.00
_cell_angle_beta 90.00
_cell_angle_gamma 90.00
_space_group_name_H-M_alt 'F m -3 m'
_space_group_IT_number 225
_space_group_name_Hall '-F 4 2 3'
loop_
_atom_site_label
_atom_site_type_symbol
_atom_site_fract_x
_atom_site_fract_y
_atom_site_fract_z
Pt1 Pt 0.000 0.000 0.000
Pb1 Pb 0.250 0.250 0.250
Br1 Br 0.000 0.000 0.500
```

Results
- energy relative to the elements, uncorrected (eV/f.u.) = 0.1
- VASP energy (eV/atom) = -60.276
- magnetization (μB per cell) = 0.00

***

Material: MgMoRh
Method: DFT, SCAN
State: single point on PBEsol structure

```
data_MgMoRh
_cell_length_a 4.3629
_cell_length_b 4.3629
_cell_length_c 2.7453
_cell_angle_alpha 90.00
_cell_angle_beta 90.00
_cell_angle_gamma 120.00
_space_group_name_H-M_alt 'P 3 m 1'
_space_group_IT_number 156
_space_group_name_Hall 'P 3 -2"'
loop_
_atom_site_label
_atom_site_type_symbol
_atom_site_fract_x
_atom_site_fract_y
_atom_site_fract_z
Mg1 Mg 0.0000 0.0000 0.0000
Mo1 Mo 0.3333 0.6667 0.5899
Rh1 Rh 0.6667 0.3333 0.3392
```

Results
- VASP energy (eV/atom) = -24.584
- calculated formation energy (eV per atom) = -0.0406
- magnetization (μB per cell) = 0.00

***

Material: ScGaTcH2
Method: DFT, SCAN
State: single point on PBEsol structure

```
data_ScGaTcH2
_cell_length_a 3.590
_cell_length_b 3.590
_cell_length_c 5.400
_cell_angle_alpha 90.00
_cell_angle_beta 90.00
_cell_angle_gamma 90.00
_space_group_name_H-M_alt 'P 4/m m m'
_space_group_IT_number 123
_space_group_name_Hall '-P 4 2'
loop_
_atom_site_label
_atom_site_type_symbol
_atom_site_fract_x
_atom_site_fract_y
_atom_site_fract_z
Sc1 Sc 0.000 0.000 0.000
Ga1 Ga 0.500 0.500 0.500
Tc1 Tc 0.000 0.000 0.500
H1 H 0.000 0.500 0.000
```

Results
- VASP energy (eV/atom) = -14.299
- magnetization (μB per cell) = 0.97

***

Material: LiNiCl
Method: DFT, SCAN
State: single point on PBEsol structure

```
data_LiNiCl
_cell_length_a 3.163
_cell_length_b 3.163
_cell_length_c 7.623
_cell_angle_alpha 90.00
_cell_angle_beta 90.00
_cell_angle_gamma 90.00
_space_group_name_H-M_alt 'I 4 m m'
_space_group_IT_number 107
_space_group_name_Hall 'I 4 -2'
loop_
_atom_site_label
_atom_site_type_symbol
_atom_site_fract_x
_atom_site_fract_y
_atom_site_fract_z
Li1 Li 0.000 0.000 0.000
Ni1 Ni 0.000 0.000 0.651
Cl1 Cl 0.000 0.000 0.366
```

Results
- energy relative to the elements, uncorrected (eV/f.u.) = -0.6
- VASP energy (eV/atom) = -9.033
- magnetization (μB per cell) = 0.04

***

Material: K3P6N11
Method: DFT, SCAN
State: single point on PBEsol structure

```
data_K3P6N11
_cell_length_a 10.417
_cell_length_b 10.417
_cell_length_c 10.417
_cell_angle_alpha 90.00
_cell_angle_beta 90.00
_cell_angle_gamma 90.00
_space_group_name_H-M_alt 'P 41 3 2'
_space_group_IT_number 213
_space_group_name_Hall 'P 4bd 2ab 3'
loop_
_atom_site_label
_atom_site_type_symbol
_atom_site_fract_x
_atom_site_fract_y
_atom_site_fract_z
K1 K 0.002 0.002 0.002
K2 K 0.125 0.625 0.875
P1 P 0.033 0.822 0.552
N1 N 0.014 0.356 0.279
N2 N 0.046 0.954 0.454
N3 N 0.051 0.875 0.699
```

Results
- energy relative to the elements, uncorrected (eV/f.u.) = -17.4
- VASP energy (eV/atom) = -10.349
- magnetization (μB per cell) = 0.00

***

Material: Zr3AsN
Method: DFT, SCAN
State: single point on PBEsol structure

```
data_Zr3AsN
_cell_length_a 4.388
_cell_length_b 4.388
_cell_length_c 4.388
_cell_angle_alpha 90.00
_cell_angle_beta 90.00
_cell_angle_gamma 90.00
_space_group_name_H-M_alt 'P m -3 m'
_space_group_IT_number 221
_space_group_name_Hall '-P 4 2 3'
loop_
_atom_site_label
_atom_site_type_symbol
_atom_site_fract_x
_atom_site_fract_y
_atom_site_fract_z
Zr1 Zr 0.000 0.000 0.500
As1 As 0.500 0.500 0.500
N1 N 0.000 0.000 0.000
```

Results
- energy relative to the elements, uncorrected (eV/f.u.) = -4.6
- VASP energy (eV/atom) = -25.227
- magnetization (μB per cell) = 2.28